# PBE+U TbZrFe2O6, optimized geometry
data_TbZrFe2O6
_cell_length_a 5.4712
_cell_length_b 5.4895
_cell_length_c 5.7034
_cell_angle_alpha 118.09
_cell_angle_beta 90.52
_cell_angle_gamma 119.83
_space_group_name_H-M_alt 'P 1'
_space_group_IT_number 1
loop_
_space_group_symop_operation_xyz
'x,y,z'
loop_
_atom_site_label
_atom_site_type_symbol
_atom_site_fract_x
_atom_site_fract_y
_atom_site_fract_z
_atom_site_occupancy
Tb1 Tb 0.0000 0.0000 0.0000 1
Zr1 Zr 0.4969 0.9944 0.4883 1
Fe1 Fe 0.2852 0.5707 0.8571 1
Fe2 Fe 0.7805 0.5593 0.3435 1
O1 O 0.0952 0.7482 0.1614 1
O2 O 0.1934 0.7540 0.6568 1
O3 O 0.4140 0.5055 0.1686 1
O4 O 0.5565 0.4593 0.6633 1
O5 O 0.6531 0.0611 0.1595 1
O6 O 0.9057 0.1079 0.6639 1
# VASP energy = -7.9127 eV/atom